No. 1
4
Lattice="-3.969 0.363 -2.814 -2.833 -3.903 -0.737 -4.442 -0.205 2.008" Properties=species:S:1:pos:R:3 comment="GdHfZnGa GGA-PBE optimized geometry" dos_at_fermi_per_ev_cell=1.69 crystal_system=cubic formation_enthalpy_0k_kj_per_mol_fu=-119 pbc="T T T"
Zn -8.433 -2.809 -1.157
Ga -2.811 -0.936 -0.386
Hf 0.000 0.000 0.000
Gd -5.622 -1.872 -0.772



No. 2
5
Lattice="-3.464 -0.069 -1.234 -0.772 -3.831 2.381 -1.069 2.011 2.888" Properties=species:S:1:pos:R:3 comment="InHClO2 GGA-PBE optimized geometry" dos_at_fermi_per_ev_cell=2.55 crystal_system=tetragonal total_energy_ev_per_atom=-3.03 pbc="T T T"
O -1.732 -0.034 -0.617
O -0.534 1.006 1.444
In -0.386 -1.915 1.191
H 0.000 0.000 0.000
Cl -2.653 -0.944 2.018



No. 3
80
Lattice="15.555 0.000 0.000 -5.185 14.666 0.000 -5.185 -7.333 12.701" Properties=species:S:1:pos:R:3 comment="In12Sb5Te3 GGA-PBE optimized geometry" raw_formation_energy_ev_per_atom=0.056 dos_at_fermi_per_ev_cell=53.18 crystal_system=cubic pbc="T T T"
Sb 0.000 0.000 0.000
Sb 3.889 2.750 1.588
Sb -1.296 3.666 3.175
Sb -2.593 -3.666 6.350
Sb 1.296 4.583 11.113
Sb -1.296 11.916 1.588
Sb 1.296 -3.666 9.526
Sb 6.481 3.666 9.526
Sb 3.889 10.999 3.175
Sb 5.185 -3.666 6.350
Sb -5.185 3.666 6.350
Sb -3.889 8.249 4.763
Sb -2.593 7.333 0.000
Sb 5.185 7.333 0.000
Sb -1.296 0.917 7.938
Sb 7.778 0.000 0.000
Sb 6.481 -4.583 11.113
Sb 2.593 3.666 6.350
Sb 6.481 6.416 4.763
Sb 9.074 -0.917 7.938
In -5.557 -0.053 10.598
In 2.221 1.847 11.695
In 6.988 8.140 7.097
In 6.776 11.483 3.501
In 11.372 3.183 3.501
In -4.184 12.440 1.843
In 5.975 6.550 9.851
In 2.221 -1.795 11.604
In 7.406 7.280 2.103
In 10.742 7.385 2.103
In -6.187 4.150 9.200
In 6.776 2.226 1.843
In -1.803 -0.807 5.604
In 2.964 9.128 1.097
In -1.001 8.290 5.345
In -2.753 -5.635 11.954
In 2.753 -2.171 7.447
In 2.964 5.485 1.006
In -0.372 5.538 1.097
In -4.395 6.525 7.097
In 3.594 6.376 5.345
In 6.187 -0.957 7.356
In 1.591 0.957 7.356
In 0.790 8.923 8.453
In -1.591 -4.150 9.200
In -0.790 0.783 2.849
In 10.530 -3.464 8.194
In 2.432 9.504 5.253
In -2.753 3.464 8.194
In -5.345 10.797 4.507
In 9.369 -5.107 10.857
In 7.938 12.968 0.747
In 5.557 -1.847 11.695
In 9.580 0.807 5.604
In 5.025 2.171 7.447
In 0.160 5.162 5.253
In -2.221 0.053 10.598
In 10.210 1.698 0.747
In -3.382 8.116 9.851
In 3.382 1.590 4.248
In -5.025 5.635 11.954
In -0.372 9.180 1.006
In -1.591 5.107 10.857
In 4.395 -1.590 4.248
In 7.938 3.869 4.507
In 5.557 1.795 11.604
In 1.803 5.743 8.453
In 8.567 -0.783 2.849
Te 6.481 0.917 4.763
Te 1.296 -0.917 4.763
Te 11.666 0.000 3.175
Te -3.889 -2.750 11.113
Te 3.889 0.000 9.526
Te -1.296 6.416 7.938
Te 9.074 10.083 1.588
Te 9.074 4.583 1.588
Te 3.889 8.249 7.938
Te 1.296 7.333 3.175
Te -6.481 7.333 9.526
Te -3.889 2.750 11.113



No. 4
4
Lattice="-2.948 3.364 -0.562 -2.003 -1.475 1.674 1.645 2.243 4.795" Properties=species:S:1:pos:R:3 comment="Tl2CoW GGA-PBE optimized geometry" dos_at_fermi_per_ev_cell=5.32 crystal_system=monoclinic formation_enthalpy_0k_kj_per_mol_fu=400 e_above_lowest_polymorph_mev_per_atom=513 pbc="T T T"
Tl -0.243 0.844 6.326
Tl -0.293 0.308 3.377
W -1.563 1.874 1.336
Co -1.742 2.258 4.570